{
  "formula": "CaCoTeO6",
  "functional": "PBE with a Hubbard U",
  "state": "optimized geometry",
  "lattice_angstrom": [[-4.2560, 0.0701, 2.7161], [4.0409, -2.5032, 1.7031], [3.2240, 8.4925, 4.8325]],
  "species": ["O", "O", "O", "O", "O", "O", "O", "O", "O", "O", "O", "O", "Ca", "Ca", "Te", "Te", "Co", "Co"],
  "fractional_positions": [[0.3691, 0.3782, 0.8549], [0.6218, 0.9909, 0.8549], [0.0091, 0.6309, 0.8549], [0.6309, 0.0091, 0.3549], [0.3782, 0.0091, 0.1451], [0.9909, 0.6218, 0.3549], [0.0091, 0.3782, 0.6451], [0.3782, 0.3691, 0.3549], [0.3691, 0.9909, 0.6451], [0.9909, 0.3691, 0.1451], [0.6218, 0.6309, 0.6451], [0.6309, 0.6218, 0.1451], [0.0000, 0.0000, 0.5000], [0.0000, 0.0000, 0.0000], [0.3333, 0.6667, 0.2500], [0.6667, 0.3333, 0.7500], [0.6667, 0.3333, 0.2500], [0.3333, 0.6667, 0.7500]],
  "dos_ef_per_ev_cell": 8.47,
  "dft_energy_ev_per_atom": -5.89,
  "sg": "P-31c",
  "magmom_total_mub_per_cell": 2.00
}